A relaxed structure of Mn3NiI8. Source: Alexandria, functional GGA-PBE.

D(E_F)   1.8 states/eV/f.u.
Magnetization   17.0 μB/cell
Space group   C2/m (12)

Structure (POSCAR):
```
Mn3NiI8
1.0
7.115 -4.108 0.000
7.115 4.108 0.000
-4.814 0.000 7.547
Mn Ni I
3 1 8
direct
0.000 0.000 0.000
0.000 0.500 0.000
0.500 0.000 0.000
0.500 0.500 0.000
0.242 0.242 0.222
0.251 0.732 0.212
0.268 0.268 0.787
0.268 0.749 0.788
0.732 0.251 0.212
0.732 0.732 0.213
0.749 0.268 0.788
0.758 0.758 0.778
```



A relaxed structure of Mn5NiI12. Source: Alexandria, functional GGA-PBE.

Magnetization   23.0 μB/cell
Space group   C2/m (12)

Structure (POSCAR):
```
Mn5NiI12
1.0
3.567 -6.182 0.000
3.567 6.182 0.000
-0.016 0.000 15.228
Mn Ni I
5 1 12
direct
0.000 0.000 0.000
0.167 0.833 0.500
0.333 0.667 0.000
0.667 0.333 0.000
0.833 0.167 0.500
0.500 0.500 0.500
0.000 0.333 0.890
0.000 0.667 0.110
0.180 0.500 0.396
0.181 0.181 0.604
0.333 0.000 0.890
0.334 0.334 0.109
0.500 0.180 0.396
0.500 0.820 0.604
0.666 0.666 0.891
0.667 0.000 0.110
0.819 0.819 0.396
0.820 0.500 0.604
```



A relaxed structure of MnNi5I12. Source: Alexandria, functional GGA-PBE.

D(E_F)   0.8 states/eV/f.u.
Magnetization   15.1 μB/cell
Space group   C2/m (12)

Structure (POSCAR):
```
MnNi5I12
1.0
3.453 -5.985 0.000
3.453 5.985 0.000
-0.015 0.000 14.683
Mn Ni I
1 5 12
direct
0.000 0.000 0.000
0.167 0.833 0.500
0.333 0.667 0.000
0.500 0.500 0.500
0.667 0.333 0.000
0.833 0.167 0.500
0.000 0.348 0.107
0.000 0.652 0.893
0.166 0.166 0.398
0.167 0.500 0.602
0.348 0.000 0.107
0.348 0.348 0.893
0.500 0.167 0.602
0.500 0.833 0.398
0.652 0.000 0.893
0.652 0.652 0.107
0.833 0.500 0.398
0.834 0.834 0.602
```



Taking the records one at a time from the top gives electronic total energy values of -49.7; -76.9; -59.1 eV/f.u..
Taking the records one at a time from the top gives energy relative to the elements, uncorrected values of -331; -370; -132 meV/atom.